Record 1
The following is a PBE-GGA calculation of crystalline Sm6HoMg at its relaxed geometry, from Alexandria.

Structure (CIF):
```
data_Sm6HoMg
_chemical_formula_sum 'Sm6 Ho1 Mg1'
_symmetry_space_group_name_H-M 'P -1'
_symmetry_Int_Tables_number 2
_cell_length_a 6.424
_cell_length_b 6.424
_cell_length_c 6.425
_cell_angle_alpha 96.26
_cell_angle_beta 96.21
_cell_angle_gamma 96.32
loop_
_symmetry_equiv_pos_as_xyz
'x,y,z'
'-x,-y,-z'
loop_
_atom_site_label
_atom_site_type_symbol
_atom_site_fract_x
_atom_site_fract_y
_atom_site_fract_z
_atom_site_occupancy
Sm1 Sm 0.027 0.053 0.260 1
Sm2 Sm 0.259 0.527 0.553 1
Sm3 Sm 0.447 0.241 0.973 1
Ho1 Ho 0.000 0.500 0.000 1
Mg1 Mg 0.500 0.000 0.500 1
```

Summary:
- density (kg/m3) = 6969
- total energy (eV for the cell shown) = -33.6
- formation enthalpy at 0 K (eV per atom) = 0.11



Record 2
The following is a PBE-GGA calculation of crystalline Sm2Ho3Mg at its relaxed geometry, from Alexandria.

Structure (CIF):
```
data_Sm2Ho3Mg
_chemical_formula_sum 'Sm8 Ho12 Mg4'
_symmetry_space_group_name_H-M 'C 1 2/c 1'
_symmetry_Int_Tables_number 15
_cell_length_a 9.838
_cell_length_b 11.522
_cell_length_c 6.768
_cell_angle_alpha 90.00
_cell_angle_beta 96.21
_cell_angle_gamma 90.00
loop_
_symmetry_equiv_pos_as_xyz
'x,y,z'
'-x,-y,-z'
'-x,y,-z+1/2'
'x,-y,z+1/2'
'x+1/2,y+1/2,z'
'-x+1/2,-y+1/2,-z'
'-x+1/2,y+1/2,-z+1/2'
'x+1/2,-y+1/2,z+1/2'
loop_
_atom_site_label
_atom_site_type_symbol
_atom_site_fract_x
_atom_site_fract_y
_atom_site_fract_z
_atom_site_occupancy
Sm1 Sm 0.163 0.233 0.194 1
Ho1 Ho 0.000 0.050 0.750 1
Ho2 Ho 0.191 0.480 0.485 1
Mg1 Mg 0.000 0.321 0.750 1
```

Summary:
- density (kg/m3) = 7139
- total energy (eV for the cell shown) = -95.8
- formation enthalpy at 0 K (eV per atom) = 0.13



Record 3
The following is a PBE-GGA calculation of crystalline Sm7Ho2Mg2 at its relaxed geometry, from Alexandria.

Structure (CIF):
```
data_Sm7Ho2Mg2
_chemical_formula_sum 'Sm14 Ho4 Mg4'
_symmetry_space_group_name_H-M 'C 1 2/m 1'
_symmetry_Int_Tables_number 12
_cell_length_a 9.779
_cell_length_b 11.845
_cell_length_c 6.729
_cell_angle_alpha 90.00
_cell_angle_beta 113.27
_cell_angle_gamma 90.00
loop_
_symmetry_equiv_pos_as_xyz
'x,y,z'
'-x,-y,-z'
'-x,y,-z'
'x,-y,z'
'x+1/2,y+1/2,z'
'-x+1/2,-y+1/2,-z'
'-x+1/2,y+1/2,-z'
'x+1/2,-y+1/2,z'
loop_
_atom_site_label
_atom_site_type_symbol
_atom_site_fract_x
_atom_site_fract_y
_atom_site_fract_z
_atom_site_occupancy
Sm1 Sm 0.000 0.000 0.000 1
Sm2 Sm 0.167 0.500 0.481 1
Sm3 Sm 0.176 0.247 0.202 1
Ho1 Ho 0.000 0.137 0.500 1
Mg1 Mg 0.156 0.500 0.974 1
```

Summary:
- density (kg/m3) = 6637
- total energy (eV for the cell shown) = -86.7
- formation enthalpy at 0 K (eV per atom) = 0.18



Record 4
The following is a PBE-GGA calculation of crystalline Sm12Ho7Mg at its relaxed geometry, from Alexandria.

Structure (CIF):
```
data_Sm12Ho7Mg
_chemical_formula_sum 'Sm36 Ho21 Mg3'
_symmetry_space_group_name_H-M 'R -3'
_symmetry_Int_Tables_number 148
_symmetry_space_group_name_Hall '-R 3'
_cell_length_a 15.0051
_cell_length_b 15.0051
_cell_length_c 10.1209
_cell_angle_alpha 90.00
_cell_angle_beta 90.00
_cell_angle_gamma 120.00
loop_
_atom_site_label
_atom_site_type_symbol
_atom_site_fract_x
_atom_site_fract_y
_atom_site_fract_z
_atom_site_occupancy
Sm1 Sm 0.0435 0.8503 0.2513 1
Sm2 Sm 0.0442 0.7940 0.5748 1
Ho1 Ho 0.0000 0.0000 0.5000 1
Ho2 Ho 0.0661 0.8237 0.9265 1
Mg1 Mg 0.0000 0.0000 0.0000 1
```

Summary:
- density (kg/m3) = 7530
- total energy (eV for the cell shown) = -261.8
- formation enthalpy at 0 K (eV per atom) = 0.15



Q: The lowest formation enthalpy at 0 K belongs to which entry?
A: Sm6HoMg